An optimized crystal structure of LiCuTc, computed with PBEsol.

abc: 5.3993 5.3993 5.3993
angles: 90.00 90.00 90.00
With the nearest neighbours (Å) after each atom.
Space group F-43m (No. 216)
Unique sites:
Li  0.0000  0.0000  0.0000 x4  4 Tc 2.34, 4 Cu 2.34
Cu  0.2500  0.2500  0.7500 x4  4 Li 2.34
Tc  0.2500  0.2500  0.2500 x4  4 Li 2.34

Calculated values
V ... 157.4 Å³ per cell
Calculated formation energy ... 1214 meV per atom
Electronic total energy ... -4.642 eV/atom

An optimized crystal structure of CaGe2PO, computed with PBEsol.

abc: 4.4706 4.4706 5.5545
angles: 90.00 90.00 90.00
With the nearest neighbours (Å) after each atom.
Space group P4/mmm (No. 123)
Unique sites:
Ca  0.0000  0.0000  0.0000 x1  2 P 2.78
Ge  0.0000  0.5000  0.5000 x2  2 P 2.24
P  0.0000  0.0000  0.5000 x1  4 Ge 2.24
O  0.5000  0.5000  0.0000 x1  4 Ca 3.16

Calculated values
V ... 111.0 Å³ per cell
Electronic total energy ... -4.354 eV/atom
Formation energy from raw total energies ... 256 meV/atom

An optimized crystal structure of ScSiCl, computed with PBEsol.

abc: 3.0207 3.0207 13.2948
angles: 90.00 90.00 90.00
With the nearest neighbours (Å) after each atom.
Space group I4mm (No. 107)
Unique sites:
Sc  0.0000  0.0000  0.0000 x2  4 Cl 2.64, 4 Si 2.84
Si  0.0000  0.0000  0.6406 x2  4 Sc 2.84, 4 Si 3.02
Cl  0.0000  0.0000  0.3828 x2  4 Sc 2.64

Calculated values
V ... 121.3 Å³ per cell
Electronic total energy ... -5.508 eV/atom
Formation energy from raw total energies ... -721 meV/atom

An optimized crystal structure of HgRuSe2, computed with PBEsol.

abc: 5.1641 3.1534 5.4487
angles: 90.00 112.25 90.00
With the nearest neighbours (Å) after each atom.
Space group P2/m (No. 10)
Unique sites:
Hg  0.0000  0.0000  0.0000 x1  2 Ru 2.72
Ru  0.0000  0.0000  0.5000 x1  4 Se 2.44, 2 Hg 2.72
Se  0.3877  0.5000  0.6675 x2  2 Ru 2.44, 1 Se 2.51

Calculated values
V ... 82.1 Å³ per cell
Electronic total energy ... -4.625 eV/atom
Formation energy from raw total energies ... -15 meV/atom